ErSnPt: relaxed, PBE.

Structure (extended XYZ):
```
3
Lattice="4.6270 0.0000 0.0000 -2.3135 4.0071 0.0000 0.0000 0.0000 3.5563" Properties=species:S:1:pos:R:3 pbc="T T T"
Er 0.0000 0.0000 0.0000
Sn 2.3135 1.3357 1.7781
Pt 0.0000 2.6714 1.7781
```

Summary:
The value obtained for the total energy is -17.52 eV for the cell shown. The calculation puts the formation energy from the elements at -0.97 eV per atom.